The following is a DFT calculation (PBE with a Hubbard U) of a geometry-optimized Sc2VO5 structure.

## Properties
Calculated volume, A^3/atom: 11.40
Energy, eV for the cell shown: -273.18
Total moment, μB/f.u.: 1.0
Symmetry: Pnma (62)

```
Sc2VO5
1.0
7.124 0.000 0.000
0.000 3.487 0.000
0.000 0.000 14.684
Sc V O
8 4 20
direct
0.073 0.250 0.094
0.147 0.250 0.732
0.353 0.750 0.232
0.427 0.750 0.594
0.573 0.250 0.406
0.647 0.250 0.768
0.853 0.750 0.268
0.927 0.750 0.906
0.125 0.250 0.428
0.375 0.750 0.928
0.625 0.250 0.072
0.875 0.750 0.572
0.078 0.750 0.453
0.086 0.750 0.185
0.110 0.750 0.652
0.145 0.750 0.006
0.204 0.750 0.831
0.296 0.250 0.331
0.355 0.250 0.506
0.390 0.250 0.152
0.414 0.250 0.685
0.422 0.250 0.953
0.578 0.750 0.047
0.586 0.750 0.315
0.610 0.750 0.848
0.645 0.750 0.494
0.704 0.750 0.669
0.796 0.250 0.169
0.855 0.250 0.994
0.890 0.250 0.348
0.914 0.250 0.815
0.922 0.250 0.547
```